Entry 1:
A relaxed structure of SmEr3Al8. Source: Alexandria via LeMat-Bulk, functional PBE.

Energy relative to the elements   -498.4 meV/atom
M_tot   0.00 μB/atom

POSCAR file:
```
SmEr3Al8
1.0
-4.1325 -3.6726 0.4683
5.2181 -1.5421 1.0852
-1.1147 2.3668 8.7231
Al Er Sm
8 3 1
Cartesian
3.4257 -1.3003 3.1494
-2.8766 -0.0857 6.8112
1.3030 -3.1867 3.3899
-2.3486 -2.6221 7.5668
2.0999 -2.2494 0.8901
-0.3386 -0.8358 7.3390
0.7454 -0.5082 2.5919
1.5452 -1.0717 5.2305
-1.4961 -1.9423 4.4338
-1.0899 -2.8046 1.2554
-1.0395 2.2069 8.1340
-0.6330 1.3440 4.9534
```



Entry 2:
A relaxed structure of Sm5ErAl2. Source: Alexandria via LeMat-Bulk, functional PBE.

Energy relative to the elements   -61.5 meV/atom
M_tot   0.00 μB/atom

POSCAR file:
```
Sm5ErAl2
1.0
3.6103 0.0000 0.0000
1.8051 8.0512 -0.6656
1.8051 1.7875 7.8784
Sm Er Al
5 1 2
Cartesian
3.6103 4.9076 0.7201
1.8051 4.9194 3.6064
3.6103 4.9311 6.4927
3.6103 7.6754 2.7493
3.6103 2.1633 4.4635
0.0000 0.0000 0.0000
5.4154 7.6403 5.6011
1.8051 2.1985 1.6117
```



Entry 3:
A relaxed structure of Sm12ErAl3. Source: Alexandria via LeMat-Bulk, functional PBE.

Energy relative to the elements   -115.8 meV/atom
M_tot   0.00 μB/atom

POSCAR file:
```
Sm12ErAl3
1.0
-1.0163 -2.2269 -4.2213
-1.2540 -4.0397 2.4330
-18.7434 6.4777 1.0952
Al Sm Er
3 12 1
Cartesian
-4.8250 1.6675 0.2819
-13.9184 4.8102 0.8132
-9.3717 3.2389 0.5476
-16.7438 4.4976 -1.1620
-3.1347 -1.1532 1.3630
-7.5896 1.3339 -1.6969
-16.8627 3.5912 2.1651
-12.2889 2.0105 1.8979
-1.1351 -3.1333 -0.8941
-7.7085 0.4275 1.6303
-5.9382 -1.4734 -0.6135
-10.5068 0.1056 -0.3466
-3.0159 -0.2468 -1.9641
-12.1700 2.9169 -1.4292
-15.0755 1.6845 -0.0796
0.0000 0.0000 0.0000
```



Entry 4:
A relaxed structure of Sm2ErAl. Source: Alexandria via LeMat-Bulk, functional PBE.

Energy relative to the elements   -186.0 meV/atom
M_tot   0.00 μB/atom

POSCAR file:
```
Sm2ErAl
1.0
-3.1702 4.2674 -0.0004
-2.6294 -1.9528 6.1243
5.5713 4.1388 -0.2561
Sm Al Er
4 2 2
Cartesian
0.0680 0.0507 2.1159
2.5422 5.1999 0.8671
-1.1760 -0.8732 4.9935
1.4455 1.0743 4.8636
2.8114 2.0887 1.8912
-1.4708 2.2190 3.9894
1.2958 4.2742 3.7590
-0.0907 3.2440 0.9935
```



Entry 5:
A relaxed structure of SmEr3Al. Source: Alexandria via LeMat-Bulk, functional PBE.

Energy relative to the elements   29.7 meV/atom
M_tot   0.00 μB/atom

POSCAR file:
```
SmEr3Al
1.0
6.9818 -0.1105 -0.1269
-0.9231 9.2514 -0.0242
-0.9231 -1.2947 9.1604
Er Sm Al
12 4 4
Cartesian
5.2756 5.5055 8.3063
5.4810 2.3428 3.9622
-0.9631 8.6948 2.5235
2.6077 6.5962 0.1137
2.5279 1.2500 8.8956
3.3509 0.3196 2.3517
1.9900 3.6581 2.9283
-0.1401 2.3407 0.7030
1.7847 7.5266 6.6576
3.1456 4.1881 6.0810
-0.3454 5.5034 5.0472
6.0986 -0.8486 6.4858
5.1406 4.9407 1.7043
-0.0050 2.9055 7.3051
3.4859 6.7815 3.8179
1.6497 1.0647 5.1914
0.8223 6.4262 2.3805
0.8223 -1.2368 9.0542
4.3133 1.4200 6.6288
4.3133 9.0830 -0.0449
```



Entry 6:
A relaxed structure of Sm2Er2Al. Source: Alexandria via LeMat-Bulk, functional PBE.

Energy relative to the elements   447.8 meV/atom
M_tot   0.00 μB/atom

POSCAR file:
```
Sm2Er2Al
1.0
4.9304 0.0000 0.0000
2.4652 4.2698 0.0000
2.4652 1.4233 8.5139
Er Al Sm
2 1 2
Cartesian
7.3956 4.2698 7.6810
2.4652 1.4233 0.8330
0.0000 0.0000 0.0000
4.9304 2.8466 5.9389
4.9304 2.8466 2.5751
```



Entry 7:
A relaxed structure of SmEr4Al5. Source: Alexandria via LeMat-Bulk, functional PBE.

Energy relative to the elements   -388.7 meV/atom
M_tot   0.00 μB/atom

POSCAR file:
```
SmEr4Al5
1.0
3.5792 0.0000 0.0000
0.0000 3.5792 0.0000
0.0000 0.0000 18.0488
Al Er Sm
5 4 1
Cartesian
1.7896 1.7896 12.5724
1.7896 1.7896 5.4763
1.7896 1.7896 16.1081
1.7896 1.7896 9.0244
1.7896 1.7896 1.9407
0.0000 0.0000 7.2524
0.0000 0.0000 3.7028
0.0000 0.0000 10.7963
0.0000 0.0000 14.3460
0.0000 0.0000 0.0000
```



Entry 8:
A relaxed structure of SmEr4Al. Source: Alexandria via LeMat-Bulk, functional PBE.

Energy relative to the elements   -39.1 meV/atom
M_tot   0.00 μB/atom

POSCAR file:
```
SmEr4Al
1.0
6.1348 -0.6440 0.0000
-2.4892 8.5556 0.0000
-1.8228 -3.9558 6.8753
Er Sm Al
8 2 2
Cartesian
-1.1580 5.1012 4.3502
1.7362 3.1324 4.3502
2.9808 -1.1454 2.5251
-1.4890 1.9943 5.2825
0.0866 0.8234 2.5251
-1.5784 -1.6723 5.2825
3.3118 1.9615 1.5928
3.4012 5.6281 1.5928
0.2891 4.1168 1.3012
1.5337 -0.1610 5.5741
-2.7783 4.4388 6.8663
4.6011 -0.4830 0.0090
```



Entry 9:
A relaxed structure of Sm3Er4Al4. Source: Alexandria via LeMat-Bulk, functional PBE.

Energy relative to the elements   -194.0 meV/atom
M_tot   0.00 μB/atom

POSCAR file:
```
Sm3Er4Al4
1.0
5.1293 0.0000 0.0000
0.0000 6.9074 0.0000
-2.5647 -3.4537 8.4210
Sm Er Al
3 4 4
Cartesian
2.5647 3.4537 6.6673
0.0000 0.0000 1.7537
0.0000 3.4537 0.0000
2.5647 1.8568 3.0178
0.0000 1.5969 5.4032
0.0000 -1.5969 5.4032
2.5647 5.0506 3.0178
2.5647 0.0000 5.4008
2.5647 5.5460 0.0000
0.0000 3.4537 3.0202
2.5647 1.3614 0.0000
```



Entry 10:
A relaxed structure of Sm2Er2Al3. Source: Alexandria via LeMat-Bulk, functional PBE.

Energy relative to the elements   -290.1 meV/atom
M_tot   0.00 μB/atom

POSCAR file:
```
Sm2Er2Al3
1.0
3.5393 0.0000 0.4697
0.0000 3.5520 0.0000
-0.0987 0.0000 14.3133
Er Sm Al
2 2 3
Cartesian
1.9035 1.7760 12.7960
1.5371 1.7760 1.9870
1.0552 1.7760 5.6186
2.3855 1.7760 9.1644
0.3703 0.0000 10.7791
3.0703 0.0000 4.0039
0.0000 0.0000 0.0000
```



Entry 11:
A relaxed structure of Sm3Er2Al3. Source: Alexandria via LeMat-Bulk, functional PBE.

Energy relative to the elements   -228.7 meV/atom
M_tot   0.00 μB/atom

POSCAR file:
```
Sm3Er2Al3
1.0
3.2967 0.0000 0.0000
0.0000 7.3785 -4.2600
0.0000 0.0000 8.5199
Al Sm Er
3 3 2
Cartesian
1.6483 2.8556 1.6487
1.6483 0.0000 5.2225
1.6483 4.5228 -2.6113
0.0000 0.0000 2.0748
0.0000 5.5817 3.2226
0.0000 1.7968 -1.0374
0.0000 4.9190 0.0000
0.0000 2.4595 4.2600
```